#A
Y2CoBr: relaxed, GGA-PBE.

Output
As for the space group: Fm-3m, No. 225.

Cell: 5.0127 5.0127 5.0127 Å, 60.00 60.00 60.00°
Last column: nearest neighbours and their distance in Å.
Element x y z (fractional)
Co 0.0000 0.0000 0.0000  8 Y 3.07
Y 0.7500 0.7500 0.7500  4 Co 3.07, 4 Br 3.07
Y 0.2500 0.2500 0.2500  4 Br 3.07, 4 Co 3.07
Br 0.5000 0.5000 0.5000  8 Y 3.07

***

#B
Y2CoBr: relaxed, GGA-PBE.

Output
As for the space group: Cm, No. 8.

Cell: 5.8069 5.8069 4.5772 Å, 87.53 87.53 35.72°
Last column: nearest neighbours and their distance in Å.
Element x y z (fractional)
Y 0.0228 0.0228 0.1335  1 Co 2.65, 4 Br 2.95-2.96
Y 0.7428 0.7428 0.6117  4 Co 2.89-2.92, 3 Br 3.00-3.10
Co 0.2630 0.2630 0.1136  5 Y 2.65-2.92
Br 0.4713 0.4713 0.6412  7 Y 2.95-3.10, 1 Co 3.09

***

Which structure is most stable? #B, by 202 meV/atom over the runner-up.